A PBEsol-optimized structure of TaRuAu2, computed with meta-GGA SCAN.

Lattice parameters (Å, degrees): 9.308 9.308 9.308 17.69 17.69 17.69
Positions (direct):
Ta 0.000 0.000 0.000
Ru 0.258 0.258 0.258
Au 0.506 0.506 0.506
Au 0.752 0.752 0.752

Energy relative to the lowest polymorph listed for this composition   223.0 meV per atom
Total magnetic moment   0.00 μB per cell
SG   R3m
E_tot   -239.5 eV/cell
ΔH_f (0 K)   51 meV per atom

***

A PBEsol-optimized structure of IrOsPdF2, computed with meta-GGA SCAN.

Lattice parameters (Å, degrees): 3.894 3.894 4.993 90.00 90.00 90.00
Positions (direct):
Ir 0.000 0.000 0.000
Os 0.000 0.000 0.500
Pd 0.500 0.500 0.500
F 0.000 0.500 0.000
F 0.500 0.000 0.000

Total magnetic moment   2.01 μB per cell
Formation energy from raw total energies   35.7 kJ/mol of atoms
SG   P4/mmm
E_tot   -181.0 eV/cell

***

A PBEsol-optimized structure of Li2CaMg, computed with meta-GGA SCAN.

Lattice parameters (Å, degrees): 3.627 3.627 7.600 90.00 90.00 90.00
Positions (direct):
Li 0.000 0.000 0.000
Li 0.500 0.500 0.195
Ca 0.500 0.500 0.702
Mg 0.000 0.000 0.404

Total magnetic moment   0.04 μB per cell
SG   P4mm
E_tot   -19.5 eV/cell
ΔH_f (0 K)   -13 meV per atom

***

A PBEsol-optimized structure of KSrCo2, computed with meta-GGA SCAN.

Lattice parameters (Å, degrees): 4.364 4.364 4.541 90.00 90.00 90.00
Positions (direct):
K 0.000 0.000 0.000
Sr 0.500 0.500 0.000
Co 0.000 0.500 0.500
Co 0.500 0.000 0.500

Energy relative to the lowest polymorph listed for this composition   0.0 meV per atom
Total magnetic moment   3.81 μB per cell
SG   P4/mmm
E_tot   -61.1 eV/cell
ΔH_f (0 K)   1035 meV per atom

***

A PBEsol-optimized structure of In2CuTc, computed with meta-GGA SCAN.

Lattice parameters (Å, degrees): 3.383 4.404 4.405 90.00 90.00 90.00
Positions (direct):
In 0.000 0.000 0.000
In 0.000 0.500 0.499
Cu 0.500 0.000 0.501
Tc 0.500 0.500 0.999

Energy relative to the lowest polymorph listed for this composition   0.0 meV per atom
Total magnetic moment   0.00 μB per cell
SG   Pmm2
E_tot   -116.3 eV/cell
ΔH_f (0 K)   191 meV per atom

***

A PBEsol-optimized structure of BaCo2Si, computed with meta-GGA SCAN.

Lattice parameters (Å, degrees): 2.964 2.964 7.204 90.00 90.00 90.00
Positions (direct):
Ba 0.000 0.000 0.000
Co 0.500 0.500 0.333
Co 0.500 0.500 0.667
Si 0.000 0.000 0.500

Total magnetic moment   0.00 μB per cell
Formation energy from raw total energies   45.2 kJ/mol of atoms
SG   P4/mmm
E_tot   -82.3 eV/cell